A relaxed structure of YZnMo2, computed with PBE.

abc: 2.808 2.808 9.096
angles: 90.00 90.00 90.36
Element x y z (fractional)
Mo 0.000 0.000 0.968
Mo 0.000 0.000 0.532
Zn 0.500 0.500 0.750
Y 0.500 0.500 0.250

- Density: 8.02 g/cm³
- Calculated formation energy: 0.416 eV/atom
- Magnetization: 0.0 μB/f.u.